Compound: Y2FePt
Source: Alexandria via LeMat-Bulk
Functional: GGA-PBEsol
Structure: optimized geometry

## Properties
Total magnetization in μB/atom: 0.35
Total energy in eV/atom: -7.53
Space group: No. 166
Fermi-level density of states in states/eV per atom: 1.073
Energy of formation in meV per atom: -142

Unit cell a=3.6899 b=3.6899 c=7.6117 alpha=75.97 beta=75.97 gamma=60.00
With the nearest neighbours (Å) after each atom.
Atoms (fractional coordinates):
Fe 0.5000 0.5000 0.5000  6 Y 2.79
Pt 0.0000 0.0000 0.0000  6 Y 2.82
Y 0.2489 0.2489 0.2533  3 Fe 2.79, 3 Pt 2.82
Y 0.7511 0.7511 0.7467  3 Fe 2.79, 3 Pt 2.82